<i>
# La2YLu

Crystalline La2YLu at its relaxed geometry (PBE, Alexandria).

a = 3.646 Å, b = 3.646 Å, c = 11.844 Å
α = 81.15°, β = 81.15°, γ = 60.00°
Fractional positions:
Y1 0.500 0.500 0.500
Lu1 0.000 0.000 0.000
La1 0.749 0.749 0.754
La2 0.251 0.251 0.246

* density: 6.7 g/cm³

<ii>
# La2YLu

Crystalline La2YLu at its relaxed geometry (PBE, Alexandria).

a = 5.788 Å, b = 5.788 Å, c = 5.788 Å
α = 60.00°, β = 60.00°, γ = 60.00°
Fractional positions:
Y1 0.500 0.500 0.500
Lu1 0.000 0.000 0.000
La1 0.250 0.250 0.250
La2 0.750 0.750 0.750

* density: 6.6 g/cm³

<iii>
# La2YLu

Crystalline La2YLu at its relaxed geometry (PBE, Alexandria).

a = 3.737 Å, b = 3.737 Å, c = 9.721 Å
α = 90.00°, β = 90.00°, γ = 90.00°
Fractional positions:
Y1 0.500 0.500 0.500
Lu1 0.500 0.500 0.000
La1 0.000 0.000 0.755
La2 0.000 0.000 0.245

* density: 6.6 g/cm³

It is <i> that is most stable; the runner-up trails by 0.8 kJ/mol of atoms.

<i>
# LaLuZn2

Crystalline LaLuZn2 at its relaxed geometry (PBE, Alexandria).

a = 5.149 Å, b = 5.149 Å, c = 5.149 Å
α = 60.00°, β = 60.00°, γ = 60.00°
Fractional positions:
Zn1 0.250 0.250 0.250
Zn2 0.750 0.750 0.750
Lu1 0.000 0.000 0.000
La1 0.500 0.500 0.500

* density: 7.6 g/cm³

<ii>
# LaLuZn2

Crystalline LaLuZn2 at its relaxed geometry (PBE, Alexandria).

a = 3.567 Å, b = 3.567 Å, c = 7.480 Å
α = 90.00°, β = 90.00°, γ = 90.00°
Fractional positions:
Zn1 0.000 0.000 0.784
Zn2 0.000 0.000 0.216
Lu1 0.500 0.500 0.000
La1 0.500 0.500 0.500

* density: 7.8 g/cm³

It is <ii> that is most stable; the runner-up trails by 1.5 kJ/mol of atoms.

<i>
# La2LuZr

Crystalline La2LuZr at its relaxed geometry (PBE, Alexandria).

a = 4.870 Å, b = 5.008 Å, c = 5.008 Å
α = 90.00°, β = 90.00°, γ = 90.00°
Fractional positions:
Lu1 0.500 0.500 0.500
Zr1 0.500 0.000 0.000
La1 0.000 0.000 0.500
La2 0.000 0.500 0.000

* density: 7.4 g/cm³

<ii>
# La2LuZr

Crystalline La2LuZr at its relaxed geometry (PBE, Alexandria).

a = 4.075 Å, b = 4.075 Å, c = 7.405 Å
α = 90.00°, β = 90.00°, γ = 90.00°
Fractional positions:
Lu1 0.500 0.500 0.000
Zr1 0.500 0.500 0.500
La1 0.000 0.000 0.732
La2 0.000 0.000 0.268

* density: 7.3 g/cm³

It is <i> that is most stable; the runner-up trails by 3.0 kJ/mol of atoms.

<i>
# LaMg

Crystalline LaMg at its relaxed geometry (PBE, Alexandria).

a = 9.646 Å, b = 9.646 Å, c = 9.646 Å
α = 90.00°, β = 90.00°, γ = 90.00°
Fractional positions:
La1 0.298 0.298 0.298
La2 0.298 0.702 0.702
La3 0.702 0.298 0.702
La4 0.702 0.702 0.298
La5 0.798 0.798 0.798
La6 0.798 0.202 0.202
La7 0.202 0.798 0.202
La8 0.202 0.202 0.798
Mg1 0.110 0.110 0.110
Mg2 0.110 0.890 0.890
Mg3 0.890 0.110 0.890
Mg4 0.890 0.890 0.110
Mg5 0.610 0.610 0.610
Mg6 0.610 0.390 0.390
Mg7 0.390 0.610 0.390
Mg8 0.390 0.390 0.610

* density: 2.4 g/cm³

<ii>
# LaMg

Crystalline LaMg at its relaxed geometry (PBE, Alexandria).

a = 6.332 Å, b = 6.332 Å, c = 8.779 Å
α = 70.18°, β = 70.18°, γ = 33.60°
Fractional positions:
La1 0.959 0.959 0.039
La2 0.318 0.318 0.405
La3 0.639 0.639 0.222
Mg1 0.639 0.639 0.722
Mg2 0.986 0.986 0.589
Mg3 0.292 0.292 0.855

* density: 4.5 g/cm³

<iii>
# LaMg

Crystalline LaMg at its relaxed geometry (PBE, Alexandria).

a = 6.095 Å, b = 6.095 Å, c = 6.713 Å
α = 62.45°, β = 62.45°, γ = 59.31°
Fractional positions:
La1 0.985 0.312 0.016
La2 0.688 0.015 0.984
La3 0.489 0.511 0.500
Mg1 0.331 0.669 0.000
Mg2 0.182 0.175 0.492
Mg3 0.825 0.818 0.508

* density: 4.5 g/cm³

It is <iii> that is most stable; the runner-up trails by 1.1 kJ/mol of atoms.

<i>
# LaMg

Crystalline LaMg at its relaxed geometry (PBE, Alexandria).

a = 5.287 Å, b = 3.476 Å, c = 6.903 Å
α = 75.71°, β = 90.00°, γ = 90.00°
Fractional positions:
Mg1 0.000 0.314 0.499
Mg2 0.500 0.436 0.251
La1 0.000 0.043 0.036
La2 0.500 0.707 0.714

* density: 4.4 g/cm³

<ii>
# LaMg

Crystalline LaMg at its relaxed geometry (PBE, Alexandria).

a = 3.967 Å, b = 3.967 Å, c = 3.967 Å
α = 90.00°, β = 90.00°, γ = 90.00°
Fractional positions:
Mg1 0.500 0.500 0.500
La1 0.000 0.000 0.000

* density: 4.3 g/cm³

<iii>
# LaMg

Crystalline LaMg at its relaxed geometry (PBE, Alexandria).

a = 6.389 Å, b = 6.389 Å, c = 6.603 Å
α = 90.00°, β = 90.00°, γ = 90.00°
Fractional positions:
La1 0.331 0.331 0.000
La2 0.831 0.169 0.500
La3 0.169 0.831 0.500
La4 0.669 0.669 0.000
Mg1 0.168 0.832 0.000
Mg2 0.668 0.668 0.500
Mg3 0.332 0.332 0.500
Mg4 0.832 0.168 0.000

* density: 4.0 g/cm³

<iv>
# LaMg

Crystalline LaMg at its relaxed geometry (PBE, Alexandria).

a = 8.434 Å, b = 6.435 Å, c = 9.132 Å
α = 90.00°, β = 90.00°, γ = 90.00°
Fractional positions:
La1 0.795 0.606 0.058
La2 0.295 0.894 0.942
La3 0.205 0.106 0.442
La4 0.705 0.394 0.558
La5 0.056 0.238 0.776
La6 0.556 0.262 0.224
La7 0.944 0.738 0.724
La8 0.444 0.762 0.276
Mg1 0.196 0.414 0.092
Mg2 0.696 0.086 0.908
Mg3 0.804 0.914 0.408
Mg4 0.304 0.586 0.592
Mg5 0.549 0.911 0.636
Mg6 0.049 0.589 0.364
Mg7 0.451 0.411 0.864
Mg8 0.951 0.089 0.136

* density: 4.4 g/cm³

It is <ii> that is most stable; the runner-up trails by 4.1 kJ/mol of atoms.

<i>
# La2Mg

Crystalline La2Mg at its relaxed geometry (PBE, Alexandria).

a = 5.617 Å, b = 7.041 Å, c = 10.221 Å
α = 90.00°, β = 90.00°, γ = 90.00°
Fractional positions:
La1 0.250 0.017 0.789
La2 0.750 0.483 0.289
La3 0.250 0.517 0.711
La4 0.750 0.983 0.211
La5 0.250 0.184 0.425
La6 0.750 0.316 0.925
La7 0.250 0.684 0.075
La8 0.750 0.816 0.575
Mg1 0.250 0.702 0.403
Mg2 0.750 0.798 0.903
Mg3 0.250 0.202 0.097
Mg4 0.750 0.298 0.597

* density: 5.0 g/cm³

<ii>
# La2Mg

Crystalline La2Mg at its relaxed geometry (PBE, Alexandria).

a = 6.548 Å, b = 6.548 Å, c = 8.768 Å
α = 70.49°, β = 70.49°, γ = 33.87°
Fractional positions:
La1 0.957 0.957 0.036
La2 0.307 0.307 0.414
La3 0.638 0.638 0.197
La4 0.988 0.988 0.575
Mg1 0.653 0.653 0.744
Mg2 0.291 0.291 0.868

* density: 5.1 g/cm³

<iii>
# La2Mg

Crystalline La2Mg at its relaxed geometry (PBE, Alexandria).

a = 10.481 Å, b = 10.481 Å, c = 10.481 Å
α = 60.00°, β = 60.00°, γ = 60.00°
Fractional positions:
La1 0.000 0.500 0.000
La2 0.500 0.000 0.000
La3 0.500 0.500 0.000
La4 0.500 0.500 0.500
La5 0.939 0.939 0.811
La6 0.939 0.311 0.811
La7 0.311 0.939 0.811
La8 0.939 0.311 0.439
La9 0.311 0.939 0.439
La10 0.311 0.311 0.439
La11 0.061 0.061 0.189
La12 0.061 0.689 0.189
La13 0.689 0.061 0.189
La14 0.061 0.689 0.561
La15 0.689 0.061 0.561
La16 0.689 0.689 0.561
Mg1 0.711 0.711 0.868
Mg2 0.711 0.711 0.211
Mg3 0.711 0.368 0.211
Mg4 0.368 0.711 0.211
Mg5 0.289 0.289 0.132
Mg6 0.289 0.289 0.789
Mg7 0.289 0.632 0.789
Mg8 0.632 0.289 0.789

* density: 4.9 g/cm³

It is <ii> that is most stable; the runner-up trails by 1.4 kJ/mol of atoms.

<i>
# La4Mg3

Crystalline La4Mg3 at its relaxed geometry (PBE, Alexandria).

a = 17.116 Å, b = 17.116 Å, c = 17.116 Å
α = 167.84°, β = 167.84°, γ = 17.23°
Fractional positions:
Mg1 0.000 0.000 0.000
Mg2 0.723 0.723 0.000
Mg3 0.277 0.277 0.000
La1 0.848 0.848 0.000
La2 0.152 0.152 0.000
La3 0.570 0.570 0.000
La4 0.430 0.430 0.000

* density: 4.7 g/cm³

<ii>
# La4Mg3

Crystalline La4Mg3 at its relaxed geometry (PBE, Alexandria).

a = 6.177 Å, b = 6.177 Å, c = 6.697 Å
α = 90.00°, β = 90.00°, γ = 120.00°
Fractional positions:
La1 0.000 0.000 0.272
La2 0.000 0.000 0.728
La3 0.667 0.333 0.500
La4 0.333 0.667 0.500
Mg1 0.000 0.500 0.000
Mg2 0.500 0.500 0.000
Mg3 0.500 0.000 0.000

* density: 4.7 g/cm³

It is <i> that is most stable; the runner-up trails by 0.5 kJ/mol of atoms.

<i>
# La3Mg2

Crystalline La3Mg2 at its relaxed geometry (PBE, Alexandria).

a = 14.662 Å, b = 13.058 Å, c = 7.159 Å
α = 87.91°, β = 62.88°, γ = 29.21°
Fractional positions:
La1 0.491 0.301 0.775
La2 0.433 0.775 0.301
La3 0.949 0.759 0.817
La4 0.475 0.817 0.759
La5 0.004 0.996 0.996
La6 0.254 0.246 0.246
Mg1 0.303 0.627 0.302
Mg2 0.768 0.302 0.627
Mg3 0.623 0.947 0.482
Mg4 0.948 0.482 0.947

* density: 4.7 g/cm³

<ii>
# La3Mg2

Crystalline La3Mg2 at its relaxed geometry (PBE, Alexandria).

a = 14.483 Å, b = 14.483 Å, c = 14.483 Å
α = 14.41°, β = 14.41°, γ = 14.41°
Fractional positions:
La1 0.000 0.000 0.000
La2 0.798 0.798 0.798
La3 0.202 0.202 0.202
Mg1 0.399 0.399 0.399
Mg2 0.601 0.601 0.601

* density: 4.7 g/cm³

It is <ii> that is most stable; the runner-up trails by 1.6 kJ/mol of atoms.